Density functional theory data (GGA+U) for a relaxed structure of CrGeF6.

Output
DOS(E_F)   0.0 states/eV/f.u.
Calculated volume   14.17 A^3/atom
Final energy   -169.62 eV for the cell shown

abc: 9.7019 6.1309 7.6808
angles: 90.00 97.05 90.00
With the nearest neighbours (Å) after each atom.
Space group C2/c (No. 15)
One atom of each set of equivalent atoms:
Cr (0.0000, 0.0018, 0.2500) x4  4 F 2.07-2.08
Ge (0.2500, 0.2500, 0.0000) x4  6 F 1.78-1.88
F (0.0979, 0.2526, 0.1301) x8  1 Ge 1.88, 1 Cr 2.08
F (0.1318, 0.2635, 0.7912) x8  1 Ge 1.86, 1 Cr 2.07
F (0.2261, 0.0375, 0.4860) x8  1 Ge 1.78